# 1
DFT (GGA-PBE) results for a geometry-optimized Tb4CeDyS8 structure.

* M_tot: 0.12 μB per atom
* ΔE_f (raw): -1919 meV per atom

Cell lengths 8.129, 8.129, 8.129 Å; angles 60.07, 60.07, 60.07 degrees
Element x y z (fractional)
Tb1 0.000 0.000 0.000
Tb2 0.375 0.375 0.876
Tb3 0.375 0.876 0.375
Tb4 0.876 0.375 0.375
Ce1 0.750 0.750 0.750
Dy1 0.375 0.375 0.375
S1 0.132 0.132 0.132
S2 0.133 0.133 0.603
S3 0.133 0.603 0.133
S4 0.160 0.613 0.613
S5 0.603 0.133 0.133
S6 0.613 0.160 0.613
S7 0.613 0.613 0.160
S8 0.614 0.614 0.614

***

# 2
DFT (GGA-PBE) results for a geometry-optimized HfPaCd structure.

* M_tot: 0.45 μB per atom
* excess energy over the best structure of this formula in the dataset: 555 meV per atom
* E_form: 0.56 eV/atom

Cell lengths 8.483, 8.483, 8.483 Å; angles 31.75, 31.75, 31.75 degrees
Element x y z (fractional)
Hf1 0.065 0.065 0.065
Hf2 0.935 0.935 0.935
Pa1 0.195 0.195 0.195
Pa2 0.805 0.805 0.805
Cd1 0.352 0.352 0.352
Cd2 0.648 0.648 0.648

***

# 3
DFT (GGA-PBE) results for a geometry-optimized CdBiS3 structure.

* M_tot: 0.00 μB per atom
* excess energy over the best structure of this formula in the dataset: 607 meV per atom
* ΔE_f (raw): 397 meV per atom

Cell lengths 4.931, 4.931, 4.931 Å; angles 90.00, 90.00, 90.00 degrees
Element x y z (fractional)
Cd1 0.000 0.000 0.000
Bi1 0.500 0.500 0.500
S1 0.000 0.000 0.500
S2 0.000 0.500 0.000
S3 0.500 0.000 0.000

***

# 4
DFT (GGA-PBE) results for a geometry-optimized CeScGaSn structure.

* M_tot: 0.24 μB per atom
* E_form: -0.49 eV/atom

Cell lengths 5.133, 5.133, 5.133 Å; angles 60.00, 60.00, 60.00 degrees
Element x y z (fractional)
Ce1 0.000 0.000 0.000
Sc1 0.500 0.500 0.500
Ga1 0.250 0.250 0.250
Sn1 0.750 0.750 0.750